# HfMo3F

A geometry-optimized HfMo3F structure (PBE with a Hubbard U, Alexandria via LeMat-Bulk).

Geometry as CIF:
```
data_HfMo3F
_symmetry_space_group_name_H-M 'P 1'
_symmetry_Int_Tables_number 1
_cell_length_a 4.383
_cell_length_b 4.383
_cell_length_c 4.383
_cell_angle_alpha 90.00
_cell_angle_beta 90.00
_cell_angle_gamma 90.00
loop_
_symmetry_equiv_pos_as_xyz
'x,y,z'
loop_
_atom_site_label
_atom_site_fract_x
_atom_site_fract_y
_atom_site_fract_z
Mo1 0.000 0.500 0.000
Mo2 0.000 0.000 0.500
Mo3 0.500 0.000 0.000
Hf1 0.500 0.500 0.500
F1 0.000 0.000 0.000
```

Values from the calculation:
Excess energy over the best structure of this formula in the dataset = 0.000 eV per atom
Magnetization = 3.8 μB/f.u.